[1]
The following is a PBE calculation of LaTlZn2F8 after structural relaxation, from the Alexandria database.

a b c (Å): 5.535 5.535 8.532
angles (deg): 71.07 71.07 60.00
Positions (direct):
La  0.000  0.000  0.000
Tl  0.500  0.500  0.500
Zn  0.239  0.239  0.282
Zn  0.761  0.761  0.718
F  0.161  0.161  0.517
F  0.590  0.282  0.173
F  0.839  0.839  0.483
F  0.956  0.590  0.173
F  0.044  0.410  0.827
F  0.282  0.956  0.173
F  0.718  0.044  0.827
F  0.410  0.718  0.827

Computed properties:
VASP energy: -4.8141 eV/atom
Formation energy from raw total energies: -2746.4 meV/atom
N(E_F): 0.000 states/eV per atom

[2]
The following is a PBE calculation of Ti2NbB2Ru5 after structural relaxation, from the Alexandria database.

a b c (Å): 3.039 9.353 9.353
angles (deg): 90.00 90.00 90.00
Positions (direct):
Ti  0.000  0.675  0.175
Ti  0.000  0.325  0.825
Ti  0.000  0.175  0.325
Ti  0.000  0.825  0.675
Nb  0.000  0.000  0.000
Nb  0.000  0.500  0.500
B  0.000  0.121  0.621
B  0.000  0.879  0.379
B  0.000  0.621  0.879
B  0.000  0.379  0.121
Ru  0.500  0.217  0.073
Ru  0.500  0.783  0.927
Ru  0.500  0.073  0.783
Ru  0.500  0.717  0.427
Ru  0.500  0.927  0.217
Ru  0.500  0.283  0.573
Ru  0.500  0.573  0.717
Ru  0.500  0.427  0.283
Ru  0.500  0.500  0.000
Ru  0.500  0.000  0.500

Computed properties:
VASP energy: -9.0965 eV/atom
N(E_F): 0.499 states/eV per atom

[3]
The following is a PBE calculation of AlZn2Cd after structural relaxation, from the Alexandria database.

a b c (Å): 7.552 7.552 6.023
angles (deg): 51.18 51.18 90.00
Positions (direct):
Zn  0.606  0.125  0.250
Zn  0.144  0.625  0.250
Zn  0.375  0.394  0.750
Zn  0.875  0.856  0.750
Al  0.500  0.500  0.000
Al  0.250  0.750  0.500
Cd  0.000  0.000  0.000
Cd  0.750  0.250  0.500

Computed properties:
VASP energy: -1.5631 eV/atom
Energy above the most stable polymorph in this dataset: 4.127 kcal/mol of atoms
N(E_F): 0.339 states/eV per atom

M_tot, respectively: 0.00, 0.00, 0.00 Bohr magnetons per cell.